Record 1
Compound: Pr6AsIr2Cl3
Source: Alexandria via LeMat-Bulk
Functional: PBE
Structure: relaxed

Output
**Final energy**: -5.993 eV/atom
**ΔE_f (raw)**: -1277.1 meV/atom
**V**: 341 Å³ per cell
**Space group**: C2/m (12)

Lattice parameters (Å, degrees): 4.1861 8.8939 9.7366 104.97 102.41 90.00
Fractional coordinates of all 12 atoms:
1 Pr 0.3351 0.8842 0.6702
2 Pr 0.6760 0.5596 0.3519
3 Pr 0.6649 0.1158 0.3298
4 Pr 0.0150 0.2433 0.0299
5 Pr 0.9850 0.7567 0.9701
6 Pr 0.3240 0.4404 0.6481
7 As 0.5000 0.0000 0.0000
8 Ir 0.8318 0.6669 0.6636
9 Ir 0.1682 0.3331 0.3364
10 Cl 0.5000 0.5000 0.0000
11 Cl 0.8438 0.1662 0.6876
12 Cl 0.1562 0.8338 0.3124

Record 2
Compound: Al4TcPt
Source: Alexandria via LeMat-Bulk
Functional: PBE
Structure: relaxed

Output
**Final energy**: -5.293 eV/atom
**V**: 88 Å³ per cell
**Formation energy from the elements**: -0.063 eV per atom
**Space group**: F-43m (216)

Lattice parameters (Å, degrees): 5.0014 5.0014 5.0014 60.00 60.00 60.00
Fractional coordinates of all 6 atoms:
1 Al 0.1245 0.6252 0.6252
2 Al 0.6252 0.6252 0.6252
3 Al 0.6252 0.1245 0.6252
4 Al 0.6252 0.6252 0.1245
5 Tc 0.0000 0.0000 0.0000
6 Pt 0.2500 0.2500 0.2500

- Look up the V of the second one.
  88 Å³ per cell

Copy entry 2 word for word.
Compound: Al4TcPt
Source: Alexandria via LeMat-Bulk
Functional: PBE
Structure: relaxed

Output
**Final energy**: -5.293 eV/atom
**V**: 88 Å³ per cell
**Formation energy from the elements**: -0.063 eV per atom
**Space group**: F-43m (216)

Lattice parameters (Å, degrees): 5.0014 5.0014 5.0014 60.00 60.00 60.00
Fractional coordinates of all 6 atoms:
1 Al 0.1245 0.6252 0.6252
2 Al 0.6252 0.6252 0.6252
3 Al 0.6252 0.1245 0.6252
4 Al 0.6252 0.6252 0.1245
5 Tc 0.0000 0.0000 0.0000
6 Pt 0.2500 0.2500 0.2500

- Which of these has the highest V?
  Pr6AsIr2Cl3